No. 1
{"formula": "Ti2ReHg", "functional": "PBE", "state": "relaxed", "total_energy_ev_per_fu": -29.63, "magnetic_moment_mub_per_cell": 0.0, "spacegroup": "No. 123", "n_ef_per_ev_cell": 2.76, "lattice": [[3.180, 0.000, 0.000], [0.000, 3.180, 0.000], [0.000, 0.000, 6.748]], "species": ["Ti", "Ti", "Re", "Hg"], "fractional_positions": [[0.000, 0.000, 0.215], [0.000, 0.000, 0.785], [0.500, 0.500, 0.000], [0.500, 0.500, 0.500]]}

No. 2
{"formula": "Ti2ReHg2", "functional": "PBE", "state": "relaxed", "total_energy_ev_per_fu": -24.47, "magnetic_moment_mub_per_cell": 0.0, "spacegroup": "No. 139", "n_ef_per_ev_cell": 5.65, "polymorph_energy_ev_per_fu": 2.069, "lattice": [[-1.842, 1.842, 6.906], [1.842, -1.842, 6.906], [1.842, 1.842, -6.906]], "species": ["Ti", "Ti", "Re", "Hg", "Hg"], "fractional_positions": [[0.250, 0.750, 0.500], [0.750, 0.250, 0.500], [0.000, 0.000, 0.000], [0.402, 0.402, 0.000], [0.598, 0.598, 0.000]]}

No. 3
{"formula": "Ti2ReHg", "functional": "PBE", "state": "relaxed", "total_energy_ev_per_fu": -28.92, "magnetic_moment_mub_per_cell": 0.0, "spacegroup": "No. 123", "n_ef_per_ev_cell": 4.39, "lattice": [[4.492, 0.000, 0.000], [0.000, 4.492, 0.000], [0.000, 0.000, 3.303]], "species": ["Ti", "Ti", "Re", "Hg"], "fractional_positions": [[0.000, 0.500, 0.000], [0.500, 0.000, 0.000], [0.000, 0.000, 0.500], [0.500, 0.500, 0.500]]}

No. 4
{"formula": "Ti2ReHg", "functional": "PBE", "state": "relaxed", "total_energy_ev_per_fu": -26.92, "magnetic_moment_mub_per_cell": 0.0, "spacegroup": "No. 122", "n_ef_per_ev_cell": 7.89, "lattice": [[-3.623, 3.623, 2.797], [3.623, -3.623, 2.797], [3.623, 3.623, -2.797]], "species": ["Ti", "Ti", "Ti", "Ti", "Re", "Re", "Hg", "Hg"], "fractional_positions": [[0.092, 0.625, 0.967], [0.375, 0.342, 0.467], [0.658, 0.125, 0.033], [0.875, 0.908, 0.533], [0.000, 0.000, 0.000], [0.750, 0.250, 0.500], [0.250, 0.750, 0.500], [0.500, 0.500, 0.000]]}

No. 5
{"formula": "TiReHg2", "functional": "PBE", "state": "relaxed", "total_energy_ev_per_fu": -18.57, "magnetic_moment_mub_per_cell": 0.0, "spacegroup": "No. 225", "n_ef_per_ev_cell": 3.56, "polymorph_energy_ev_per_fu": 0.000, "lattice": [[0.000, 3.296, 3.296], [3.296, 0.000, 3.296], [3.296, 3.296, 0.000]], "species": ["Ti", "Re", "Hg", "Hg"], "fractional_positions": [[0.000, 0.000, 0.000], [0.500, 0.500, 0.500], [0.250, 0.250, 0.250], [0.750, 0.750, 0.750]]}

No. 6
{"formula": "Ti3ReHg", "functional": "PBE", "state": "relaxed", "total_energy_ev_per_fu": -27.66, "magnetic_moment_mub_per_cell": 0.3, "spacegroup": "No. 221", "n_ef_per_ev_cell": 7.02, "polymorph_energy_ev_per_fu": 5.942, "lattice": [[4.839, 0.000, 0.000], [0.000, 4.839, 0.000], [0.000, 0.000, 4.839]], "species": ["Ti", "Ti", "Ti", "Re", "Hg"], "fractional_positions": [[0.000, 0.000, 0.500], [0.000, 0.500, 0.000], [0.500, 0.000, 0.000], [0.500, 0.500, 0.500], [0.000, 0.000, 0.000]]}

No. 7
{"formula": "Ti5Re4Hg", "functional": "PBE", "state": "relaxed", "total_energy_ev_per_fu": -93.03, "magnetic_moment_mub_per_cell": 0.0, "spacegroup": "No. 123", "n_ef_per_ev_cell": 8.94, "lattice": [[3.153, 0.000, 0.000], [0.000, 3.153, 0.000], [0.000, 0.000, 16.027]], "species": ["Ti", "Ti", "Ti", "Ti", "Ti", "Re", "Re", "Re", "Re", "Hg"], "fractional_positions": [[0.000, 0.000, 0.000], [0.000, 0.000, 0.192], [0.000, 0.000, 0.379], [0.000, 0.000, 0.621], [0.000, 0.000, 0.808], [0.500, 0.500, 0.096], [0.500, 0.500, 0.291], [0.500, 0.500, 0.709], [0.500, 0.500, 0.904], [0.500, 0.500, 0.500]]}

No. 8
{"formula": "TiReHg2", "functional": "PBE", "state": "relaxed", "total_energy_ev_per_fu": -18.07, "magnetic_moment_mub_per_cell": 0.0, "spacegroup": "No. 122", "n_ef_per_ev_cell": 8.52, "polymorph_energy_ev_per_fu": 0.497, "lattice": [[-1.962, 1.962, 10.214], [1.962, -1.962, 10.214], [1.962, 1.962, -10.214]], "species": ["Ti", "Ti", "Re", "Re", "Hg", "Hg", "Hg", "Hg"], "fractional_positions": [[0.000, 0.000, 0.000], [0.750, 0.250, 0.500], [0.250, 0.750, 0.500], [0.500, 0.500, 0.000], [0.130, 0.625, 0.005], [0.375, 0.380, 0.505], [0.620, 0.125, 0.995], [0.875, 0.870, 0.495]]}

No. 9
{"formula": "Ti3ReHg", "functional": "PBE", "state": "relaxed", "total_energy_ev_per_fu": -33.61, "magnetic_moment_mub_per_cell": 1.5, "spacegroup": "No. 221", "n_ef_per_ev_cell": 5.04, "polymorph_energy_ev_per_fu": 0.000, "lattice": [[4.776, 0.000, 0.000], [0.000, 4.776, 0.000], [0.000, 0.000, 4.776]], "species": ["Ti", "Ti", "Ti", "Re", "Hg"], "fractional_positions": [[0.000, 0.000, 0.500], [0.000, 0.500, 0.000], [0.500, 0.000, 0.000], [0.000, 0.000, 0.000], [0.500, 0.500, 0.500]]}

No. 10
{"formula": "Ti2ReHg2", "functional": "PBE", "state": "relaxed", "total_energy_ev_per_fu": -26.54, "magnetic_moment_mub_per_cell": 0.0, "spacegroup": "No. 127", "n_ef_per_ev_cell": 11.37, "polymorph_energy_ev_per_fu": 0.000, "lattice": [[7.288, 0.000, 0.000], [0.000, 7.288, 0.000], [0.000, 0.000, 3.424]], "species": ["Ti", "Ti", "Ti", "Ti", "Re", "Re", "Hg", "Hg", "Hg", "Hg"], "fractional_positions": [[0.175, 0.325, 0.000], [0.325, 0.825, 0.000], [0.675, 0.175, 0.000], [0.825, 0.675, 0.000], [0.000, 0.000, 0.500], [0.500, 0.500, 0.500], [0.132, 0.632, 0.500], [0.368, 0.132, 0.500], [0.632, 0.868, 0.500], [0.868, 0.368, 0.500]]}

No. 11
{"formula": "Ti3Re2Hg", "functional": "PBE", "state": "relaxed", "total_energy_ev_per_fu": -50.82, "magnetic_moment_mub_per_cell": 0.0, "spacegroup": "No. 123", "n_ef_per_ev_cell": 4.01, "lattice": [[3.168, 0.000, 0.000], [0.000, 3.168, 0.000], [0.000, 0.000, 9.827]], "species": ["Ti", "Ti", "Ti", "Re", "Re", "Hg"], "fractional_positions": [[0.000, 0.000, 0.000], [0.000, 0.000, 0.304], [0.000, 0.000, 0.696], [0.500, 0.500, 0.161], [0.500, 0.500, 0.839], [0.500, 0.500, 0.500]]}

No. 12
{"formula": "ZrTiReHg", "functional": "PBE", "state": "relaxed", "total_energy_ev_per_fu": -29.40, "magnetic_moment_mub_per_cell": 0.0, "spacegroup": "No. 216", "n_ef_per_ev_cell": 3.46, "lattice": [[0.000, 3.322, 3.322], [3.322, 0.000, 3.322], [3.322, 3.322, 0.000]], "species": ["Zr", "Ti", "Re", "Hg"], "fractional_positions": [[0.000, 0.000, 0.000], [0.500, 0.500, 0.500], [0.750, 0.750, 0.750], [0.250, 0.250, 0.250]]}

| no. | ΔE_f (meV/atom) |
| --- | --- |
| 1 | -271 |
| 2 | 874 |
| 3 | -94 |
| 4 | 404 |
| 5 | 595 |
| 6 | 1754 |
| 7 | -346 |
| 8 | 719 |
| 9 | 566 |
| 10 | 460 |
| 11 | -323 |
| 12 | -51 |